1.
## CdAg3 (GGA-PBE)

Data for crystalline CdAg3 at its relaxed geometry.

Structure (POSCAR):
```
CdAg3
1.0
5.916 0.000 0.000
-2.958 5.123 0.000
0.000 0.000 4.885
Ag Cd
6 2
Cartesian
1.469 0.848 1.221
1.489 4.275 3.663
-1.489 4.275 3.663
0.000 1.696 3.663
4.447 0.848 1.221
2.958 3.427 1.221
0.000 3.416 1.221
2.958 1.708 3.663
```


2.
## CdAg (GGA-PBE)

Data for crystalline CdAg at its relaxed geometry.

Structure (POSCAR):
```
CdAg
1.0
2.987 0.000 0.000
1.493 5.580 0.000
0.000 0.000 4.715
Ag Cd
2 2
Cartesian
1.493 0.802 3.537
2.987 4.778 1.179
1.493 3.710 3.537
2.987 1.869 1.179
```


3.
## Cd2Ag3 (GGA-PBE)

Data for crystalline Cd2Ag3 at its relaxed geometry.

Structure (POSCAR):
```
Cd2Ag3
1.0
-2.146 4.221 -1.911
-4.632 1.451 1.584
1.734 7.062 6.830
Ag Cd
6 4
Cartesian
-2.235 9.066 4.348
-5.062 5.561 2.042
-2.809 3.669 2.155
-2.690 5.994 0.353
0.018 7.174 4.461
-2.355 6.740 6.150
-4.511 3.792 -0.205
-4.789 8.248 3.130
-0.533 8.943 6.708
-0.255 4.486 3.374
```

The calculation puts the polymorph energy (0 for the lowest one) at 10.4 kJ/mol of atoms.


4.
## CdAg (GGA-PBE)

Data for crystalline CdAg at its relaxed geometry.

Structure (POSCAR):
```
CdAg
1.0
-4.591 0.350 -1.645
3.557 -1.528 -2.987
-0.946 -5.198 1.534
Ag Cd
2 2
Cartesian
-2.287 -2.540 -1.424
-0.044 -5.766 -1.105
0.429 -3.166 -1.872
-2.760 -5.139 -0.658
```


Number 1: magnetization 0.00 μB/f.u., E_form -49 meV per atom, raw total energy -2.4158 eV/atom. Number 2: magnetization 0.00 μB/f.u., E_form -33 meV per atom, raw total energy -1.9160 eV/atom. Number 3: magnetization 0.00 μB/f.u., E_form 62 meV per atom, raw total energy -2.0151 eV/atom. Number 4: magnetization 0.00 μB/f.u., E_form 301 meV per atom, raw total energy -1.5822 eV/atom.